Record 1
Here is an optimized crystal structure of Pm6YMg2 from the Alexandria database. Energies are from PBE.

abc: 3.8481 6.7595 11.9523
angles: 75.54 80.74 73.46
Closest atoms and distances in Å follow each position.
Positions (direct):
Pm 0.6831 0.5116 0.1223  2 Mg 3.31, 5 Pm 3.50-3.59
Pm 0.3169 0.4884 0.8777  2 Mg 3.31, 5 Pm 3.50-3.59
Pm 0.3135 0.7882 0.5847  2 Mg 3.35, 8 Pm 3.58-3.65
Pm 0.9825 0.6982 0.3368  2 Mg 3.30, 7 Pm 3.59-3.65
Pm 0.0175 0.3018 0.6632  2 Mg 3.30, 7 Pm 3.59-3.65
Pm 0.6865 0.2118 0.4153  2 Mg 3.35, 8 Pm 3.58-3.65
Y 0.0000 0.0000 0.0000  4 Mg 3.25
Mg 0.3514 0.0912 0.2060  2 Y 3.25, 6 Pm 3.30-3.35
Mg 0.6486 0.9088 0.7940  2 Y 3.25, 6 Pm 3.30-3.35

Results
N(E_F) = 9.3 states/eV/cell
E_form = -0.23 eV/f.u.
uncorrected energy = -4.266 eV/atom
total magnetic moment = 0.000 μB per atom

Record 2
Here is an optimized crystal structure of Pm4Y5Mg from the Alexandria database. Energies are from PBE.

abc: 3.6293 3.6293 24.4789
angles: 90.00 90.00 90.00
Closest atoms and distances in Å follow each position.
Positions (direct):
Pm 0.0000 0.0000 0.1884  8 Y 3.58-3.62, 4 Pm 3.63
Pm 0.0000 0.0000 0.3964  8 Y 3.61, 4 Pm 3.63
Pm 0.0000 0.0000 0.6036  8 Y 3.61, 4 Pm 3.63
Pm 0.0000 0.0000 0.8116  8 Y 3.58-3.62, 4 Pm 3.63
Y 0.5000 0.5000 0.0865  4 Mg 3.33, 4 Pm 3.58, 4 Y 3.63
Y 0.5000 0.5000 0.2929  8 Pm 3.61-3.62, 4 Y 3.63
Y 0.5000 0.5000 0.5000  8 Pm 3.61, 4 Y 3.63
Y 0.5000 0.5000 0.7071  8 Pm 3.61-3.62, 4 Y 3.63
Y 0.5000 0.5000 0.9135  4 Mg 3.33, 4 Pm 3.58, 4 Y 3.63
Mg 0.0000 0.0000 0.0000  8 Y 3.33, 4 Mg 3.63

Results
N(E_F) = 14.3 states/eV/cell
E_form = -0.05 eV/f.u.
uncorrected energy = -5.297 eV/atom
total magnetic moment = 0.000 μB per atom

Record 3
Here is an optimized crystal structure of Pm3Y4Mg from the Alexandria database. Energies are from PBE.

abc: 3.4418 5.8961 13.1232
angles: 96.52 97.54 90.00
Closest atoms and distances in Å follow each position.
Positions (direct):
Y 0.7177 0.2357 0.4353  3 Pm 3.42-3.79, 8 Y 3.44-3.82
Y 0.2823 0.7643 0.5647  3 Pm 3.42-3.79, 8 Y 3.44-3.82
Y 0.1008 0.1846 0.2016  3 Pm 3.20-3.38, 2 Mg 3.22, 4 Y 3.44-3.48
Y 0.8992 0.8154 0.7984  3 Pm 3.20-3.38, 2 Mg 3.22, 4 Y 3.44-3.48
Mg 0.5000 0.0000 0.0000  4 Y 3.22, 4 Pm 3.41, 2 Mg 3.44
Pm 0.0000 0.5000 0.0000  2 Y 3.38, 4 Mg 3.41, 2 Pm 3.44
Pm 0.1501 0.7115 0.3002  3 Y 3.20-3.42, 2 Pm 3.44
Pm 0.8499 0.2885 0.6998  3 Y 3.20-3.42, 2 Pm 3.44

Results
N(E_F) = 13.0 states/eV/cell
E_form = 1.51 eV/f.u.
E above lowest polymorph = 0.186 eV/atom
uncorrected energy = -5.024 eV/atom
total magnetic moment = 0.000 μB per atom

Record 4
Here is an optimized crystal structure of PmY2Mg9 from the Alexandria database. Energies are from PBE.

abc: 6.0598 6.0598 10.3419
angles: 72.96 72.96 60.00
Closest atoms and distances in Å follow each position.
Positions (direct):
Pm 0.0000 0.0000 0.0000  18 Mg 3.50-3.91
Y 0.8571 0.8571 0.4286  12 Mg 3.48-3.57, 3 Y 3.76
Y 0.1429 0.1429 0.5714  12 Mg 3.48-3.57, 3 Y 3.76
Mg 0.6659 0.6659 0.0023  6 Mg 3.02-3.03
Mg 0.3341 0.3341 0.9977  6 Mg 3.02-3.03
Mg 0.5000 0.5000 0.5000  6 Mg 2.98
Mg 0.4129 0.4129 0.2536  7 Mg 2.98-3.08
Mg 0.9206 0.4129 0.2536  7 Mg 2.98-3.08
Mg 0.4129 0.9206 0.2536  7 Mg 2.98-3.08
Mg 0.5871 0.5871 0.7464  7 Mg 2.98-3.08
Mg 0.5871 0.0794 0.7464  7 Mg 2.98-3.08
Mg 0.0794 0.5871 0.7464  7 Mg 2.98-3.08

Results
N(E_F) = 11.3 states/eV/cell
E_form = -0.75 eV/f.u.
uncorrected energy = -2.732 eV/atom
total magnetic moment = 0.000 μB per atom

Record 5
Here is an optimized crystal structure of Pm3Y3Mg from the Alexandria database. Energies are from PBE.

abc: 6.2339 6.2339 14.5728
angles: 77.65 77.65 60.00
Closest atoms and distances in Å follow each position.
Positions (direct):
Pm 0.2035 0.8703 0.3898  3 Y 3.54-3.55, 9 Pm 3.60-3.74
Pm 0.5364 0.2035 0.3898  3 Y 3.54-3.55, 9 Pm 3.60-3.74
Pm 0.8703 0.5364 0.3898  3 Y 3.54-3.55, 9 Pm 3.60-3.74
Pm 0.1297 0.4636 0.6102  3 Y 3.54-3.55, 9 Pm 3.60-3.74
Pm 0.4636 0.7965 0.6102  3 Y 3.54-3.55, 9 Pm 3.60-3.74
Pm 0.7965 0.1297 0.6102  3 Y 3.54-3.55, 9 Pm 3.60-3.74
Y 0.9380 0.2738 0.1863  2 Mg 3.35, 3 Pm 3.54-3.55, 6 Y 3.58-3.63
Y 0.6019 0.9380 0.1863  2 Mg 3.35, 3 Pm 3.54-3.55, 6 Y 3.58-3.63
Y 0.2738 0.6019 0.1863  2 Mg 3.35, 3 Pm 3.54-3.55, 6 Y 3.58-3.63
Y 0.7262 0.3981 0.8137  2 Mg 3.35, 3 Pm 3.54-3.55, 6 Y 3.58-3.63
Y 0.3981 0.0620 0.8137  2 Mg 3.35, 3 Pm 3.54-3.55, 6 Y 3.58-3.63
Y 0.0620 0.7262 0.8137  2 Mg 3.35, 3 Pm 3.54-3.55, 6 Y 3.58-3.63
Mg 0.6667 0.6667 0.0000  6 Y 3.35, 3 Mg 3.60
Mg 0.3333 0.3333 0.0000  6 Y 3.35, 3 Mg 3.60

Results
N(E_F) = 21.3 states/eV/cell
E_form = 0.81 eV/f.u.
E above lowest polymorph = 0.094 eV/atom
uncorrected energy = -4.919 eV/atom
total magnetic moment = 0.000 μB per atom

Record 6
Here is an optimized crystal structure of Pm5Y4Mg2 from the Alexandria database. Energies are from PBE.

abc: 3.5575 8.8309 13.9505
angles: 125.36 97.33 90.00
Closest atoms and distances in Å follow each position.
Positions (direct):
Pm 0.1833 0.8922 0.3665  4 Y 3.39-3.65, 5 Pm 3.45-3.56, 2 Mg 3.46
Pm 0.8167 0.1078 0.6335  4 Y 3.39-3.65, 5 Pm 3.45-3.56, 2 Mg 3.46
Pm 0.1322 0.1671 0.2644  5 Pm 3.45-3.56, 4 Y 3.54-3.58, 2 Mg 3.61
Pm 0.5000 0.0000 0.0000  2 Mg 3.48, 6 Pm 3.52-3.56, 4 Y 3.56
Pm 0.8678 0.8329 0.7356  5 Pm 3.45-3.56, 4 Y 3.54-3.58, 2 Mg 3.61
Y 0.7108 0.6006 0.4217  6 Y 3.56-3.94, 6 Pm 3.56-3.65
Y 0.9275 0.5710 0.8549  4 Pm 3.39-3.56, 4 Mg 3.42-3.47, 4 Y 3.56-3.65
Y 0.2892 0.3994 0.5783  6 Y 3.56-3.94, 6 Pm 3.56-3.65
Y 0.0725 0.4290 0.1451  4 Pm 3.39-3.56, 4 Mg 3.42-3.47, 4 Y 3.56-3.65
Mg 0.5542 0.7294 0.1083  3 Mg 3.35-3.56, 4 Y 3.42-3.47, 5 Pm 3.46-3.61
Mg 0.4458 0.2706 0.8917  3 Mg 3.35-3.56, 4 Y 3.42-3.47, 5 Pm 3.46-3.61

Results
N(E_F) = 16.0 states/eV/cell
E_form = 0.53 eV/f.u.
uncorrected energy = -4.752 eV/atom
total magnetic moment = 0.000 μB per atom

Record 7
Here is an optimized crystal structure of Pm2YMg from the Alexandria database. Energies are from PBE.

abc: 4.9490 5.0043 5.0043
angles: 90.00 90.00 90.00
Closest atoms and distances in Å follow each position.
Positions (direct):
Y 0.5000 0.0000 0.0000  8 Pm 3.52, 4 Mg 3.54
Mg 0.5000 0.5000 0.5000  8 Pm 3.52, 4 Y 3.54
Pm 0.0000 0.0000 0.5000  4 Mg 3.52, 4 Y 3.52, 4 Pm 3.54
Pm 0.0000 0.5000 0.0000  4 Mg 3.52, 4 Y 3.52, 4 Pm 3.54

Results
N(E_F) = 6.7 states/eV/cell
E_form = 0.03 eV/f.u.
E above lowest polymorph = 0.050 eV/atom
uncorrected energy = -4.381 eV/atom
total magnetic moment = 0.001 μB per atom

Record 8
Here is an optimized crystal structure of Pm6YMg from the Alexandria database. Energies are from PBE.

abc: 5.0802 5.0802 10.7714
angles: 76.36 76.36 90.00
Closest atoms and distances in Å follow each position.
Positions (direct):
Pm 0.7483 0.7482 0.5035  12 Pm 3.59-3.66
Pm 0.6220 0.1221 0.7559  2 Mg 3.55, 2 Y 3.55, 8 Pm 3.59-3.66
Pm 0.1221 0.6221 0.7559  2 Y 3.55, 2 Mg 3.55, 8 Pm 3.59-3.66
Pm 0.3780 0.8779 0.2441  2 Mg 3.55, 2 Y 3.55, 8 Pm 3.59-3.66
Pm 0.2517 0.2518 0.4965  12 Pm 3.59-3.66
Pm 0.8779 0.3779 0.2441  2 Y 3.55, 2 Mg 3.55, 8 Pm 3.59-3.66
Y 0.5000 0.5000 0.0000  8 Pm 3.55, 4 Mg 3.59
Mg 0.0000 0.0000 0.0000  8 Pm 3.55, 4 Y 3.59

Results
N(E_F) = 11.1 states/eV/cell
E_form = 0.10 eV/f.u.
E above lowest polymorph = 0.000 eV/atom
uncorrected energy = -4.558 eV/atom
total magnetic moment = 0.000 μB per atom

Record 9
Here is an optimized crystal structure of Pm2YMg9 from the Alexandria database. Energies are from PBE.

abc: 6.0695 6.0695 10.4073
angles: 73.05 73.05 60.00
Closest atoms and distances in Å follow each position.
Positions (direct):
Pm 0.8584 0.8584 0.4249  12 Mg 3.49-3.63, 3 Pm 3.80
Pm 0.1416 0.1416 0.5751  12 Mg 3.49-3.63, 3 Pm 3.80
Y 0.0000 0.0000 0.0000  18 Mg 3.50-3.90
Mg 0.6660 0.6660 0.0019  6 Mg 3.01
Mg 0.3340 0.3340 0.9981  6 Mg 3.01
Mg 0.5000 0.5000 0.5000  6 Mg 3.03
Mg 0.4148 0.4148 0.2497  7 Mg 3.00-3.07
Mg 0.9206 0.4148 0.2497  7 Mg 3.00-3.07
Mg 0.4148 0.9206 0.2497  7 Mg 3.00-3.07
Mg 0.5852 0.5852 0.7503  7 Mg 3.00-3.07
Mg 0.5852 0.0794 0.7503  7 Mg 3.00-3.07
Mg 0.0794 0.5852 0.7503  7 Mg 3.00-3.07

Results
N(E_F) = 11.6 states/eV/cell
E_form = -0.60 eV/f.u.
uncorrected energy = -2.576 eV/atom
total magnetic moment = 0.000 μB per atom

Record 10
Here is an optimized crystal structure of PmY5Mg4 from the Alexandria database. Energies are from PBE.

abc: 3.7526 3.7526 20.4117
angles: 90.00 90.00 90.00
Closest atoms and distances in Å follow each position.
Positions (direct):
Pm 0.0000 0.0000 0.0000  8 Y 3.62, 4 Pm 3.75
Y 0.5000 0.5000 0.1207  4 Mg 3.29, 4 Pm 3.62
Y 0.5000 0.5000 0.3107  8 Mg 3.27-3.28
Y 0.5000 0.5000 0.5000  8 Mg 3.29
Y 0.5000 0.5000 0.6893  8 Mg 3.27-3.28
Y 0.5000 0.5000 0.8793  4 Mg 3.29, 4 Pm 3.62
Mg 0.0000 0.0000 0.2164  8 Y 3.28-3.29
Mg 0.0000 0.0000 0.4048  8 Y 3.27-3.29
Mg 0.0000 0.0000 0.5952  8 Y 3.27-3.29
Mg 0.0000 0.0000 0.7836  8 Y 3.28-3.29

Results
N(E_F) = 14.6 states/eV/cell
E_form = -0.79 eV/f.u.
uncorrected energy = -4.424 eV/atom
total magnetic moment = 0.000 μB per atom